A relaxed structure of LiPuPaTe3, computed with PBE.

Output
Crystal system: monoclinic
Theoretical density (Mg/m³): 8.2
E_form (uncorrected) (meV/atom): -877

```
LiPuPaTe3
1.0
9.0979 0.0000 0.0000
0.0000 4.2288 0.0000
-2.5941 0.0000 9.1332
Li Pu Pa Te
2 2 2 6
Cartesian
0.5446 1.0572 0.8009
5.9592 3.1716 8.3322
-0.2994 1.0572 6.6893
6.8033 3.1716 2.4439
2.2458 3.1716 3.2772
4.2581 1.0572 5.8560
-0.0725 1.0572 3.4410
2.0758 3.1716 0.0926
2.0542 3.1716 6.3851
4.4497 1.0572 2.7481
4.4281 1.0572 9.0405
6.5764 3.1716 5.6922
```

A relaxed structure of LiCoAu2, computed with PBE.

Output
Crystal system: orthorhombic
DFT total energy (eV per atom): -3.93
Theoretical density (Mg/m³): 12.4

```
LiCoAu2
1.0
2.7502 0.0000 0.0000
0.0000 4.1258 0.0000
0.0000 0.0000 5.4209
Li Co Au
1 1 2
Cartesian
0.0000 0.0000 0.0000
1.3751 2.0629 3.8469
0.0000 0.0000 2.8474
1.3751 2.0629 1.0691
```

A relaxed structure of ThB4Os4, computed with PBE.

Output
Crystal system: tetragonal
Polymorph energy (0 for the lowest one) (eV per atom): 0.000
Theoretical density (Mg/m³): 14.7

```
ThB4Os4
1.0
7.6314 0.0000 0.0000
0.0000 7.6314 0.0000
0.0000 0.0000 4.0143
Th B Os
2 8 8
Cartesian
1.9079 1.9079 1.0036
5.7236 5.7236 3.0107
0.2325 6.9687 0.5611
0.6628 4.0482 2.5683
3.1530 7.3989 2.5683
3.5832 4.4785 0.5611
4.0482 3.1530 3.4532
4.4785 0.2325 1.4460
6.9687 3.5832 1.4460
7.3989 0.6628 3.4532
0.7985 4.9056 0.5641
1.0899 6.8329 2.5713
2.7258 4.6142 2.5713
3.0172 6.5415 0.5641
4.6142 1.0899 3.4502
4.9056 3.0172 1.4430
6.5415 0.7985 1.4430
6.8329 2.7258 3.4502
```

A relaxed structure of Sm5Hg2Sb, computed with PBE.

Output
Crystal system: tetragonal
Theoretical density (Mg/m³): 9.0
E_form (uncorrected) (meV/atom): -536

```
Sm5Hg2Sb
1.0
-4.2584 4.2584 6.5141
4.2584 -4.2584 6.5141
4.2584 4.2584 -6.5141
Sm Hg Sb
10 4 2
Cartesian
0.0000 0.0000 0.0000
5.5790 1.3205 -1.9338
1.3205 2.9379 -1.9338
5.5790 1.3205 1.9338
1.3205 2.9379 1.9338
0.0000 0.0000 6.5141
2.9379 1.3205 4.5803
-1.3205 2.9379 4.5803
2.9379 1.3205 8.4479
-1.3205 2.9379 8.4479
3.0748 1.1836 0.0000
3.0748 -1.1836 6.5141
1.1836 5.4421 0.0000
1.1836 3.0748 6.5141
0.0000 0.0000 3.2571
0.0000 0.0000 9.7712
```

A relaxed structure of Ac2W2C3, computed with PBE.

Output
Crystal system: monoclinic
DFT total energy (eV per atom): -8.82
Theoretical density (Mg/m³): 11.4

```
Ac2W2C3
1.0
6.3782 -1.7837 0.0000
6.3782 1.7837 0.0000
-2.9563 0.0000 5.4776
Ac W C
2 2 3
Cartesian
0.3961 0.0000 1.6772
9.4039 0.0000 3.8003
3.7684 0.0000 0.9897
6.0317 0.0000 4.4879
0.7926 0.0000 4.3146
4.9000 0.0000 2.7388
9.0075 0.0000 1.1630
```

A relaxed structure of MnSb4, computed with PBE.

Output
Crystal system: tetragonal
Polymorph energy (0 for the lowest one) (eV per atom): 0.229
Theoretical density (Mg/m³): 5.9
E_form (uncorrected) (meV/atom): 439

```
MnSb4
1.0
-2.9965 2.9965 4.2502
2.9965 -2.9965 4.2502
2.9965 2.9965 -4.2502
Mn Sb
1 4
Cartesian
0.0000 0.0000 0.0000
2.9965 0.0000 2.1251
0.0000 0.0000 2.6858
0.0000 0.0000 5.8146
0.0000 2.9965 2.1251
```

A relaxed structure of K2BePt2, computed with PBE.

Output
Crystal system: tetragonal
DFT total energy (eV per atom): -3.73
Theoretical density (Mg/m³): 7.7

```
K2BePt2
1.0
6.1264 0.0000 0.0000
0.0000 6.1264 0.0000
0.0000 0.0000 5.5122
K Be Pt
4 2 4
Cartesian
1.0776 1.9856 0.0000
1.9856 5.0488 0.0000
4.1408 1.0776 0.0000
5.0488 4.1408 0.0000
0.0000 0.0000 2.7561
3.0632 3.0632 2.7561
0.9352 3.9984 2.7561
2.1280 0.9352 2.7561
3.9984 5.1912 2.7561
5.1912 2.1280 2.7561
```

A relaxed structure of Sm12Dy6Y, computed with PBE.

Output
Crystal system: trigonal
Polymorph energy (0 for the lowest one) (eV per atom): 0.097
Theoretical density (Mg/m³): 7.3

```
Sm12Dy6Y
1.0
7.3893 4.2662 3.4691
-7.3893 4.2662 3.4691
0.0000 -8.5325 3.4691
Sm Dy Y
12 6 1
Cartesian
-1.0763 -5.2785 4.3001
-5.1095 -1.7071 6.1071
-2.1584 -2.0735 4.3578
-4.0332 3.5714 4.3001
-2.8749 0.8325 6.0494
-0.7165 2.9060 4.3578
0.7165 -2.9060 6.0494
2.8749 -0.8325 4.3578
4.0332 -3.5714 6.1071
2.1584 2.0735 6.0494
5.1095 1.7071 4.3001
1.0763 5.2785 6.1071
-2.7817 0.6482 2.5032
0.8295 -2.7331 2.5032
1.9522 2.0849 2.5032
-1.9522 -2.0849 7.9041
-0.8295 2.7331 7.9041
2.7817 -0.6482 7.9041
0.0000 0.0000 0.0000
```